1:
The following is a DFT calculation (PBE) of a geometry-optimized CdP3O structure.

Cell: 4.283 4.283 4.283 Å, 90.00 90.00 90.00°
Fractional positions:
Cd 0.000 0.000 0.000
P 0.000 0.500 0.500
P 0.500 0.000 0.500
P 0.500 0.500 0.000
O 0.500 0.500 0.500

Results
V in Å³ per atom: 15.71
Symmetry: No. 221

=====

2:
The following is a DFT calculation (PBE) of a geometry-optimized CdP3O structure.

Cell: 4.979 4.979 4.979 Å, 90.00 90.00 90.00°
Fractional positions:
Cd 0.000 0.000 0.000
P 0.000 0.000 0.500
P 0.000 0.500 0.000
P 0.500 0.000 0.000
O 0.500 0.500 0.500

Results
V in Å³ per atom: 24.68
Symmetry: No. 221

=====

Name the least stable of them. 2.

=====

1:
The following is a DFT calculation (PBE) of a geometry-optimized CdPO2 structure.

Cell: 5.769 5.769 5.769 Å, 90.00 90.00 90.00°
Fractional positions:
Cd 0.000 0.000 0.000
Cd 0.000 0.500 0.500
Cd 0.500 0.000 0.500
Cd 0.500 0.500 0.000
P 0.000 0.000 0.500
P 0.000 0.500 0.000
P 0.500 0.000 0.000
P 0.500 0.500 0.500
O 0.250 0.250 0.250
O 0.250 0.250 0.750
O 0.250 0.750 0.250
O 0.250 0.750 0.750
O 0.750 0.250 0.250
O 0.750 0.250 0.750
O 0.750 0.750 0.250
O 0.750 0.750 0.750

Results
V in Å³ per atom: 12.00
Symmetry: No. 225

=====

2:
The following is a DFT calculation (PBE) of a geometry-optimized CdPO2 structure.

Cell: 4.596 4.596 11.310 Å, 90.00 90.00 90.00°
Fractional positions:
Cd 0.000 0.000 0.000
Cd 0.000 0.500 0.250
Cd 0.500 0.000 0.750
Cd 0.500 0.500 0.500
P 0.000 0.000 0.500
P 0.000 0.500 0.750
P 0.500 0.000 0.250
P 0.500 0.500 0.000
O 0.192 0.250 0.625
O 0.250 0.692 0.875
O 0.250 0.808 0.375
O 0.308 0.250 0.125
O 0.692 0.750 0.125
O 0.750 0.192 0.375
O 0.750 0.308 0.875
O 0.808 0.750 0.625

Results
V in Å³ per atom: 14.93
Symmetry: No. 122

=====

3:
The following is a DFT calculation (PBE) of a geometry-optimized CdPO2 structure.

Cell: 3.271 3.271 18.005 Å, 90.00 90.00 120.00°
Fractional positions:
Cd 0.000 0.000 0.000
Cd 0.333 0.667 0.667
Cd 0.667 0.333 0.333
P 0.000 0.000 0.500
P 0.333 0.667 0.167
P 0.667 0.333 0.833
O 0.000 0.000 0.406
O 0.000 0.000 0.594
O 0.333 0.667 0.073
O 0.333 0.667 0.260
O 0.667 0.333 0.740
O 0.667 0.333 0.927

Results
V in Å³ per atom: 13.90
Symmetry: No. 166

=====

Name the least stable of them. 1.

=====

1:
The following is a DFT calculation (PBE) of a geometry-optimized CdPPdO2 structure.

Cell: 3.936 3.936 5.074 Å, 90.00 90.00 90.00°
Fractional positions:
Cd 0.000 0.000 0.000
P 0.500 0.500 0.000
Pd 0.500 0.500 0.500
O 0.000 0.500 0.500
O 0.500 0.000 0.500

Results
V in Å³ per atom: 15.72
Symmetry: No. 123

=====

2:
The following is a DFT calculation (PBE) of a geometry-optimized CdPPdO2 structure.

Cell: 4.006 4.006 5.441 Å, 90.00 90.00 90.00°
Fractional positions:
Cd 0.000 0.000 0.000
P 0.000 0.000 0.500
Pd 0.500 0.500 0.500
O 0.000 0.500 0.000
O 0.500 0.000 0.000

Results
V in Å³ per atom: 17.47
Symmetry: No. 123

=====

Name the least stable of them. 2.

=====

1:
The following is a DFT calculation (PBE) of a geometry-optimized CdP2PdO structure.

Cell: 4.998 4.998 3.951 Å, 90.00 90.00 90.00°
Fractional positions:
Cd 0.000 0.000 0.000
P 0.000 0.500 0.000
P 0.500 0.000 0.000
Pd 0.500 0.500 0.500
O 0.000 0.000 0.500

Results
V in Å³ per atom: 19.74
Symmetry: No. 123

=====

2:
The following is a DFT calculation (PBE) of a geometry-optimized CdP2PdO structure.

Cell: 4.873 4.873 3.838 Å, 90.00 90.00 90.00°
Fractional positions:
Cd 0.000 0.000 0.000
P 0.000 0.500 0.500
P 0.500 0.000 0.500
Pd 0.500 0.500 0.500
O 0.500 0.500 0.000

Results
V in Å³ per atom: 18.23
Symmetry: No. 123

=====

Name the least stable of them. 1.

=====

1:
The following is a DFT calculation (PBE) of a geometry-optimized CdPPtO2 structure.

Cell: 3.911 3.911 5.184 Å, 90.00 90.00 90.00°
Fractional positions:
Cd 0.000 0.000 0.000
P 0.500 0.500 0.000
Pt 0.500 0.500 0.500
O 0.000 0.500 0.500
O 0.500 0.000 0.500

Results
V in Å³ per atom: 15.86
Symmetry: No. 123

=====

2:
The following is a DFT calculation (PBE) of a geometry-optimized CdPPtO2 structure.

Cell: 3.879 3.879 6.341 Å, 90.00 90.00 90.00°
Fractional positions:
Cd 0.000 0.000 0.000
P 0.000 0.000 0.500
Pt 0.500 0.500 0.500
O 0.000 0.500 0.000
O 0.500 0.000 0.000

Results
V in Å³ per atom: 19.08
Symmetry: No. 123

=====

Name the least stable of them. 2.

=====

1:
The following is a DFT calculation (PBE) of a geometry-optimized CdP2PtO structure.

Cell: 4.958 4.958 3.877 Å, 90.00 90.00 90.00°
Fractional positions:
Cd 0.000 0.000 0.000
P 0.000 0.500 0.000
P 0.500 0.000 0.000
Pt 0.500 0.500 0.500
O 0.000 0.000 0.500

Results
V in Å³ per atom: 19.06
Symmetry: No. 123

=====

2:
The following is a DFT calculation (PBE) of a geometry-optimized CdP2PtO structure.

Cell: 4.925 4.925 3.803 Å, 90.00 90.00 90.00°
Fractional positions:
Cd 0.000 0.000 0.000
P 0.000 0.500 0.500
P 0.500 0.000 0.500
Pt 0.500 0.500 0.500
O 0.500 0.500 0.000

Results
V in Å³ per atom: 18.45
Symmetry: No. 123

=====

Name the least stable of them. 1.

=====

1:
The following is a DFT calculation (PBE) of a geometry-optimized RbCdPO2 structure.

Cell: 4.603 4.603 5.104 Å, 90.00 90.00 90.00°
Fractional positions:
Rb 0.000 0.000 0.000
Cd 0.500 0.500 0.500
P 0.500 0.500 0.000
O 0.000 0.500 0.500
O 0.500 0.000 0.500

Results
V in Å³ per atom: 21.63
Symmetry: No. 123

=====

2:
The following is a DFT calculation (PBE) of a geometry-optimized RbCdPO2 structure.

Cell: 4.385 4.385 6.771 Å, 90.00 90.00 90.00°
Fractional positions:
Rb 0.000 0.000 0.000
Cd 0.500 0.500 0.500
P 0.000 0.000 0.500
O 0.000 0.500 0.000
O 0.500 0.000 0.000

Results
V in Å³ per atom: 26.04
Symmetry: No. 123

=====

3:
The following is a DFT calculation (PBE) of a geometry-optimized RbCdPO2 structure.

Cell: 4.178 4.178 4.788 Å, 90.00 90.00 90.00°
Fractional positions:
Rb 0.000 0.000 0.000
Cd 0.500 0.500 0.000
P 0.500 0.500 0.500
O 0.000 0.500 0.500
O 0.500 0.000 0.500

Results
V in Å³ per atom: 16.72
Symmetry: No. 123

=====

Name the least stable of them. 2.

=====

1:
The following is a DFT calculation (PBE) of a geometry-optimized CdP2RhO structure.

Cell: 4.950 4.950 3.885 Å, 90.00 90.00 90.00°
Fractional positions:
Cd 0.000 0.000 0.000
P 0.000 0.500 0.000
P 0.500 0.000 0.000
Rh 0.500 0.500 0.500
O 0.000 0.000 0.500

Results
V in Å³ per atom: 19.04
Symmetry: No. 123

=====

2:
The following is a DFT calculation (PBE) of a geometry-optimized CdP2RhO structure.

Cell: 4.890 4.890 3.703 Å, 90.00 90.00 90.00°
Fractional positions:
Cd 0.000 0.000 0.000
P 0.000 0.500 0.500
P 0.500 0.000 0.500
Rh 0.500 0.500 0.500
O 0.500 0.500 0.000

Results
V in Å³ per atom: 17.71
Symmetry: No. 123

=====

Name the least stable of them. 1.

=====

1:
The following is a DFT calculation (PBE) of a geometry-optimized CdPS2O structure.

Cell: 4.857 4.857 5.176 Å, 90.00 90.00 90.00°
Fractional positions:
Cd 0.000 0.000 0.000
P 0.000 0.000 0.500
S 0.000 0.500 0.000
S 0.500 0.000 0.000
O 0.500 0.500 0.500

Results
V in Å³ per atom: 24.42
Symmetry: No. 123

=====

2:
The following is a DFT calculation (PBE) of a geometry-optimized CdPS2O structure.

Cell: 4.911 4.911 3.600 Å, 90.00 90.00 90.00°
Fractional positions:
Cd 0.000 0.000 0.000
P 0.500 0.500 0.000
S 0.000 0.500 0.500
S 0.500 0.000 0.500
O 0.500 0.500 0.500

Results
V in Å³ per atom: 17.36
Symmetry: No. 123

=====

Name the least stable of them. 1.

=====

1:
The following is a DFT calculation (PBE) of a geometry-optimized CdSbP2O structure.

Cell: 5.172 5.172 3.911 Å, 90.00 90.00 90.00°
Fractional positions:
Cd 0.000 0.000 0.000
Sb 0.500 0.500 0.500
P 0.000 0.500 0.500
P 0.500 0.000 0.500
O 0.500 0.500 0.000

Results
V in Å³ per atom: 20.92
Symmetry: No. 123

=====

2:
The following is a DFT calculation (PBE) of a geometry-optimized CdSbP2O structure.

Cell: 5.057 5.057 4.016 Å, 90.00 90.00 90.00°
Fractional positions:
Cd 0.000 0.000 0.000
Sb 0.500 0.500 0.500
P 0.000 0.500 0.000
P 0.500 0.000 0.000
O 0.000 0.000 0.500

Results
V in Å³ per atom: 20.55
Symmetry: No. 123

=====

Name the least stable of them. 2.

=====

1:
The following is a DFT calculation (PBE) of a geometry-optimized CdPSeO2 structure.

Cell: 3.973 3.973 6.789 Å, 90.00 90.00 90.00°
Fractional positions:
Cd 0.000 0.000 0.000
P 0.000 0.000 0.500
Se 0.500 0.500 0.500
O 0.000 0.500 0.000
O 0.500 0.000 0.000

Results
V in Å³ per atom: 21.43
Symmetry: No. 123

=====

2:
The following is a DFT calculation (PBE) of a geometry-optimized CdPSeO2 structure.

Cell: 3.843 3.843 5.104 Å, 90.00 90.00 90.00°
Fractional positions:
Cd 0.000 0.000 0.000
P 0.500 0.500 0.000
Se 0.500 0.500 0.500
O 0.000 0.500 0.500
O 0.500 0.000 0.500

Results
V in Å³ per atom: 15.08
Symmetry: No. 123

=====

Name the least stable of them. 1.

=====

1:
The following is a DFT calculation (PBE) of a geometry-optimized TaCdPO2 structure.

Cell: 3.915 3.915 5.301 Å, 90.00 90.00 90.00°
Fractional positions:
Ta 0.000 0.000 0.000
Cd 0.500 0.500 0.500
P 0.000 0.000 0.500
O 0.000 0.500 0.000
O 0.500 0.000 0.000

Results
V in Å³ per atom: 16.25
Symmetry: No. 123

=====

2:
The following is a DFT calculation (PBE) of a geometry-optimized TaCdPO2 structure.

Cell: 3.974 3.974 5.094 Å, 90.00 90.00 90.00°
Fractional positions:
Ta 0.000 0.000 0.000
Cd 0.500 0.500 0.500
P 0.500 0.500 0.000
O 0.000 0.500 0.500
O 0.500 0.000 0.500

Results
V in Å³ per atom: 16.09
Symmetry: No. 123

=====

Name the least stable of them. 2.